1.
# MnAl2W, optimized geometry, DFT PBEsol
# **Total magnetic moment**: 2.4 μB/cell
# **ΔE_f**: -9 meV/atom
# **Energy**: -31.79 eV for the cell shown
# **Distance to the lowest polymorph of the same formula**: 0.1518 eV per atom
data_MnAl2W
_chemical_formula_sum 'Mn1 Al2 W1'
_cell_length_a 3.828
_cell_length_b 3.828
_cell_length_c 3.829
_cell_angle_alpha 90.00
_cell_angle_beta 90.00
_cell_angle_gamma 90.00
_symmetry_space_group_name_H-M 'P 4/m m m'
_symmetry_Int_Tables_number 123
_symmetry_space_group_name_Hall '-P 4 2'
loop_
_atom_site_label
_atom_site_type_symbol
_atom_site_fract_x
_atom_site_fract_y
_atom_site_fract_z
Mn1 Mn 0.000 0.000 0.000
Al1 Al 0.000 0.500 0.500
W1 W 0.500 0.500 0.000

2.
# TaCSeF2, optimized geometry, DFT PBEsol
# **Total magnetic moment**: 1.1 μB/cell
# **Energy**: -25.73 eV for the cell shown
# **Formation energy without anion corrections**: 0.83 eV/atom
data_TaCSeF2
_chemical_formula_sum 'Ta1 C1 Se1 F2'
_cell_length_a 3.606
_cell_length_b 3.606
_cell_length_c 7.576
_cell_angle_alpha 90.00
_cell_angle_beta 90.00
_cell_angle_gamma 90.00
_symmetry_space_group_name_H-M 'P 4/m m m'
_symmetry_Int_Tables_number 123
_symmetry_space_group_name_Hall '-P 4 2'
loop_
_atom_site_label
_atom_site_type_symbol
_atom_site_fract_x
_atom_site_fract_y
_atom_site_fract_z
Ta1 Ta 0.000 0.000 0.000
C1 C 0.500 0.500 0.000
Se1 Se 0.500 0.500 0.500
F1 F 0.000 0.500 0.500

3.
# BaMgTl, optimized geometry, DFT PBEsol
# **Total magnetic moment**: 0.0 μB/cell
# **ΔE_f**: -286 meV/atom
# **Energy**: -7.36 eV for the cell shown
data_BaMgTl
_chemical_formula_sum 'Ba1 Mg1 Tl1'
_cell_length_a 5.2846
_cell_length_b 5.2846
_cell_length_c 4.0866
_cell_angle_alpha 90.00
_cell_angle_beta 90.00
_cell_angle_gamma 120.00
_symmetry_space_group_name_H-M 'P -6 m 2'
_symmetry_Int_Tables_number 187
_symmetry_space_group_name_Hall 'P -6 2'
loop_
_atom_site_label
_atom_site_type_symbol
_atom_site_fract_x
_atom_site_fract_y
_atom_site_fract_z
Ba1 Ba 0.0000 0.0000 0.0000
Mg1 Mg 0.3333 0.6667 0.5000
Tl1 Tl 0.6667 0.3333 0.5000

4.
# ScCuW, optimized geometry, DFT PBEsol
# **Total magnetic moment**: 0.0 μB/cell
# **ΔE_f**: 393 meV/atom
# **Energy**: -23.57 eV for the cell shown
data_ScCuW
_chemical_formula_sum 'Sc1 Cu1 W1'
_cell_length_a 2.8542
_cell_length_b 2.8542
_cell_length_c 6.8264
_cell_angle_alpha 90.00
_cell_angle_beta 90.00
_cell_angle_gamma 120.00
_symmetry_space_group_name_H-M 'P 3 m 1'
_symmetry_Int_Tables_number 156
loop_
_symmetry_equiv_pos_as_xyz
'x,y,z'
'-y,x-y,z'
'-x+y,-x,z'
'-y,-x,z'
'-x+y,y,z'
'x,x-y,z'
loop_
_atom_site_label
_atom_site_type_symbol
_atom_site_fract_x
_atom_site_fract_y
_atom_site_fract_z
Sc1 Sc 0.0000 0.0000 0.0000
Cu1 Cu 0.6667 0.3333 0.3345
W1 W 0.3333 0.6667 0.6461

5.
# Na2BiBPO7, optimized geometry, DFT PBEsol
# **Total magnetic moment**: 1.9 μB/cell
# **Energy**: -159.00 eV for the cell shown
# **Formation energy without anion corrections**: -1.91 eV/atom
data_Na2BiBPO7
_chemical_formula_sum 'Na4 Bi2 B2 P2 O14'
_cell_length_a 5.403
_cell_length_b 6.918
_cell_length_c 9.406
_cell_angle_alpha 90.00
_cell_angle_beta 90.86
_cell_angle_gamma 90.00
_symmetry_space_group_name_H-M 'P 1 21/m 1'
_symmetry_Int_Tables_number 11
loop_
_symmetry_equiv_pos_as_xyz
'x,y,z'
'-x,-y,-z'
'-x,y+1/2,-z'
'x,-y+1/2,z'
loop_
_atom_site_label
_atom_site_type_symbol
_atom_site_fract_x
_atom_site_fract_y
_atom_site_fract_z
Na1 Na 0.226 0.006 0.213
Bi1 Bi 0.312 0.250 0.622
B1 B 0.280 0.250 0.905
P1 P 0.244 0.750 0.598
O1 O 0.032 0.250 0.370
O2 O 0.065 0.250 0.821
O3 O 0.247 0.250 0.047
O4 O 0.274 0.750 0.431
O5 O 0.385 0.572 0.659
O6 O 0.500 0.250 0.833

6.
# AgAu, optimized geometry, DFT PBEsol
# **Total magnetic moment**: 0.0 μB/cell
# **ΔE_f**: -42 meV/atom
# **Energy**: -43.92 eV for the cell shown
data_AgAu
_chemical_formula_sum 'Ag6 Au6'
_cell_length_a 10.700
_cell_length_b 2.845
_cell_length_c 6.853
_cell_angle_alpha 90.00
_cell_angle_beta 105.91
_cell_angle_gamma 90.00
_symmetry_space_group_name_H-M 'C 1 m 1'
_symmetry_Int_Tables_number 8
loop_
_symmetry_equiv_pos_as_xyz
'x,y,z'
'x,-y,z'
'x+1/2,y+1/2,z'
'x+1/2,-y+1/2,z'
loop_
_atom_site_label
_atom_site_type_symbol
_atom_site_fract_x
_atom_site_fract_y
_atom_site_fract_z
Ag1 Ag 0.000 0.000 0.000
Ag2 Ag 0.054 0.000 0.612
Ag3 Ag 0.166 0.500 0.332
Au1 Au 0.221 0.500 0.945
Au2 Au 0.331 0.000 0.665
Au3 Au 0.391 0.000 0.279

7.
# LiAl, optimized geometry, DFT PBEsol
# **Total magnetic moment**: 0.0 μB/cell
# **ΔE_f**: -108 meV/atom
# **Energy**: -25.09 eV for the cell shown
data_LiAl
_chemical_formula_sum 'Li4 Al4'
_cell_length_a 10.294
_cell_length_b 2.760
_cell_length_c 5.050
_cell_angle_alpha 90.00
_cell_angle_beta 117.43
_cell_angle_gamma 90.00
_symmetry_space_group_name_H-M 'C 1 2/m 1'
_symmetry_Int_Tables_number 12
loop_
_symmetry_equiv_pos_as_xyz
'x,y,z'
'-x,-y,-z'
'-x,y,-z'
'x,-y,z'
'x+1/2,y+1/2,z'
'-x+1/2,-y+1/2,-z'
'-x+1/2,y+1/2,-z'
'x+1/2,-y+1/2,z'
loop_
_atom_site_label
_atom_site_type_symbol
_atom_site_fract_x
_atom_site_fract_y
_atom_site_fract_z
Li1 Li 0.121 0.000 0.464
Al1 Al 0.126 0.500 0.966

8.
# LiMnNbO4, optimized geometry, DFT PBEsol
# **Total magnetic moment**: 20.0 μB/cell
# **Energy**: -232.74 eV for the cell shown
# **Distance to the lowest polymorph of the same formula**: 0.0000 eV per atom
# **Formation energy without anion corrections**: -2.09 eV/atom
data_LiMnNbO4
_chemical_formula_sum 'Li4 Mn4 Nb4 O16'
_cell_length_a 6.074
_cell_length_b 6.074
_cell_length_c 8.612
_cell_angle_alpha 90.00
_cell_angle_beta 90.00
_cell_angle_gamma 90.00
_symmetry_space_group_name_H-M 'P 43 2 2'
_symmetry_Int_Tables_number 95
loop_
_symmetry_equiv_pos_as_xyz
'x,y,z'
'-y,x,z+3/4'
'-x,-y,z+1/2'
'y,-x,z+1/4'
'x,-y,-z+1/2'
'-y,-x,-z+3/4'
'-x,y,-z'
'y,x,-z+1/4'
loop_
_atom_site_label
_atom_site_type_symbol
_atom_site_fract_x
_atom_site_fract_y
_atom_site_fract_z
Li1 Li 0.000 0.234 0.000
Mn1 Mn 0.238 0.500 0.250
Nb1 Nb 0.250 0.250 0.625
O1 O 0.002 0.253 0.250
O2 O 0.254 0.495 0.003

9.
# CaCuRe2, optimized geometry, DFT PBEsol
# **Total magnetic moment**: 0.0 μB/cell
# **ΔE_f**: 556 meV/atom
# **Energy**: -61.81 eV for the cell shown
# **Distance to the lowest polymorph of the same formula**: 0.2441 eV per atom
data_CaCuRe2
_chemical_formula_sum 'Ca2 Cu2 Re4'
_cell_length_a 4.395
_cell_length_b 4.503
_cell_length_c 6.301
_cell_angle_alpha 90.00
_cell_angle_beta 90.00
_cell_angle_gamma 90.00
_symmetry_space_group_name_H-M 'I m m 2'
_symmetry_Int_Tables_number 44
loop_
_symmetry_equiv_pos_as_xyz
'x,y,z'
'-x,-y,z'
'-x,y,z'
'x,-y,z'
'x+1/2,y+1/2,z+1/2'
'-x+1/2,-y+1/2,z+1/2'
'-x+1/2,y+1/2,z+1/2'
'x+1/2,-y+1/2,z+1/2'
loop_
_atom_site_label
_atom_site_type_symbol
_atom_site_fract_x
_atom_site_fract_y
_atom_site_fract_z
Ca1 Ca 0.000 0.000 0.000
Cu1 Cu 0.000 0.500 0.752
Re1 Re 0.000 0.000 0.504
Re2 Re 0.000 0.500 0.244

10.
# K2SiAs, optimized geometry, DFT PBEsol
# **Total magnetic moment**: 0.0 μB/cell
# **Energy**: -28.04 eV for the cell shown
# **Distance to the lowest polymorph of the same formula**: 0.0000 eV per atom
# **Formation energy without anion corrections**: -0.23 eV/atom
data_K2SiAs
_chemical_formula_sum 'K4 Si2 As2'
_cell_length_a 3.821
_cell_length_b 5.235
_cell_length_c 11.944
_cell_angle_alpha 90.00
_cell_angle_beta 90.00
_cell_angle_gamma 90.00
_symmetry_space_group_name_H-M 'A m m 2'
_symmetry_Int_Tables_number 38
loop_
_symmetry_equiv_pos_as_xyz
'x,y,z'
'-x,-y,z'
'-x,y,z'
'x,-y,z'
'x,y+1/2,z+1/2'
'-x,-y+1/2,z+1/2'
'-x,y+1/2,z+1/2'
'x,-y+1/2,z+1/2'
loop_
_atom_site_label
_atom_site_type_symbol
_atom_site_fract_x
_atom_site_fract_y
_atom_site_fract_z
K1 K 0.000 0.000 0.000
K2 K 0.500 0.000 0.288
Si1 Si 0.000 0.000 0.705
As1 As 0.500 0.000 0.582

11.
# Ca3Sc2Ge3O12, optimized geometry, DFT PBEsol
# **Total magnetic moment**: 0.0 μB/cell
# **Energy**: -1216.82 eV for the cell shown
# **Formation energy without anion corrections**: -2.73 eV/atom
data_Ca3Sc2Ge3O12
_chemical_formula_sum 'Ca24 Sc16 Ge24 O96'
_cell_length_a 12.489
_cell_length_b 12.489
_cell_length_c 12.489
_cell_angle_alpha 90.00
_cell_angle_beta 90.00
_cell_angle_gamma 90.00
_symmetry_space_group_name_H-M 'I a -3 d'
_symmetry_Int_Tables_number 230
_symmetry_space_group_name_Hall '-I 4bd 2c 3'
loop_
_atom_site_label
_atom_site_type_symbol
_atom_site_fract_x
_atom_site_fract_y
_atom_site_fract_z
Ca1 Ca 0.000 0.250 0.125
Sc1 Sc 0.000 0.000 0.000
Ge1 Ge 0.000 0.250 0.375
O1 O 0.034 0.054 0.655

12.
# NaAl2Pt2, optimized geometry, DFT PBEsol
# **Total magnetic moment**: 0.0 μB/cell
# **ΔE_f**: -823 meV/atom
# **Energy**: -55.24 eV for the cell shown
data_NaAl2Pt2
_chemical_formula_sum 'Na2 Al4 Pt4'
_cell_length_a 7.568
_cell_length_b 7.568
_cell_length_c 2.755
_cell_angle_alpha 90.00
_cell_angle_beta 90.00
_cell_angle_gamma 90.00
_symmetry_space_group_name_H-M 'P 4/m b m'
_symmetry_Int_Tables_number 127
_symmetry_space_group_name_Hall '-P 4 2ab'
loop_
_atom_site_label
_atom_site_type_symbol
_atom_site_fract_x
_atom_site_fract_y
_atom_site_fract_z
Na1 Na 0.000 0.000 0.000
Al1 Al 0.136 0.364 0.000
Pt1 Pt 0.158 0.658 0.500

> Which formula does entry 12 have?

NaAl2Pt2

> What is the total magnetic moment in the ninth record?

0.0 μB/cell

> Which of these has the lowest energy?

Ca3Sc2Ge3O12